1.
Computed, not measured: a geometry-optimized Nd3Al3Cu8 structure at the PBE-GGA level of DFT.

For the density of states at the Fermi level, the calculation gives 15.91 states/eV/cell. The total moment comes out at 0.00 μB/cell. For the final energy, the calculation gives -62.1 eV per formula unit. As for the calculated formation energy: -0.269 eV/atom.

Unit cell a=4.2806 b=8.9194 c=12.8315 alpha=90.00 beta=90.00 gamma=90.00
Last column: nearest neighbours and their distance in Å.
Space group Immm (No. 71)
Asymmetric unit:
Nd1 0.0000 0.0000 0.0000 x2  12 Cu 3.04-3.28, 4 Al 3.40
Nd2 0.0000 0.0000 0.2945 x4  12 Cu 3.01-3.32, 2 Al 3.20
Al1 0.0000 0.2041 0.5000 x4  6 Cu 2.50-2.70
Al2 0.0000 0.5000 0.0000 x2  4 Cu 2.52, 4 Al 2.81
Cu1 0.0000 0.2860 0.1284 x8  3 Cu 2.52-2.72, 3 Al 2.52-2.70
Cu2 0.0000 0.3536 0.3349 x8  1 Al 2.50, 4 Cu 2.52-2.72

2.
Computed, not measured: a geometry-optimized NdAlCu4 structure at the PBE-GGA level of DFT.

For the density of states at the Fermi level, the calculation gives 10.64 states/eV/cell. The total moment comes out at 0.00 μB/cell. For the final energy, the calculation gives -25.4 eV per formula unit. As for the calculated formation energy: -0.077 eV/atom.

Unit cell a=4.3586 b=14.3310 c=6.4842 alpha=90.00 beta=90.00 gamma=90.00
Last column: nearest neighbours and their distance in Å.
Space group Cmcm (No. 63)
Asymmetric unit:
Nd1 0.0000 0.1138 0.2500 x4  3 Cu 2.77-2.86
Al1 0.0000 0.3472 0.2500 x4  4 Cu 2.42-2.52
Cu1 0.0000 0.0795 0.7500 x4  2 Al 2.42, 2 Cu 2.69
Cu2 0.0000 0.2497 0.5737 x8  3 Cu 2.29-2.38, 1 Al 2.52
Cu3 0.0000 0.5000 0.0000 x4  2 Al 2.72, 4 Cu 2.95

3.
Computed, not measured: a geometry-optimized Nd2Al5Cu12 structure at the PBE-GGA level of DFT.

For the density of states at the Fermi level, the calculation gives 24.69 states/eV/cell. The total moment comes out at 0.00 μB/cell. For the final energy, the calculation gives -82.3 eV per formula unit. As for the calculated formation energy: -0.260 eV/atom.

Unit cell a=8.7783 b=8.7783 c=12.8817 alpha=90.00 beta=90.00 gamma=120.00
Last column: nearest neighbours and their distance in Å.
Space group R-3m (No. 166, hexagonal axes)
Asymmetric unit:
Nd1 0.0000 0.0000 0.1523 x6  15 Cu 3.12-3.34, 4 Al 3.21-3.44
Al1 0.0000 0.0000 0.4019 x6  4 Al 2.53-2.68, 3 Cu 2.72
Al2 0.0000 0.5000 0.0000 x9  8 Cu 2.52-2.53, 2 Al 2.68
Cu1 0.0000 0.2908 0.5000 x18  2 Al 2.52, 6 Cu 2.55-2.69
Cu2 0.0038 0.5019 0.3475 x18  3 Al 2.53-2.72, 6 Cu 2.59-2.69

4.
Computed, not measured: a geometry-optimized NdAl8Cu4 structure at the PBE-GGA level of DFT.

For the density of states at the Fermi level, the calculation gives 5.32 states/eV/cell. The total moment comes out at 0.00 μB/cell. For the final energy, the calculation gives -55.2 eV per formula unit. As for the calculated formation energy: -0.313 eV/atom.

Unit cell a=8.8672 b=8.8672 c=5.1660 alpha=90.00 beta=90.00 gamma=90.00
Last column: nearest neighbours and their distance in Å.
Space group I4/mmm (No. 139)
Asymmetric unit:
Nd1 0.0000 0.0000 0.0000 x2  12 Al 3.09-3.24, 8 Cu 3.39
Al1 0.0000 0.2203 0.5000 x8  4 Cu 2.58, 6 Al 2.76-2.82
Al2 0.0000 0.3487 0.0000 x8  5 Al 2.68-2.82, 4 Cu 2.71
Cu1 0.2500 0.2500 0.2500 x8  8 Al 2.58-2.71, 2 Cu 2.58

5.
Computed, not measured: a geometry-optimized NdAl9Cu2 structure at the PBE-GGA level of DFT.

For the density of states at the Fermi level, the calculation gives 23.92 states/eV/cell. The total moment comes out at 0.00 μB/cell. For the final energy, the calculation gives -48.8 eV per formula unit. As for the calculated formation energy: -0.182 eV/atom.

Unit cell a=10.7261 b=10.7261 c=7.1203 alpha=90.00 beta=90.00 gamma=90.00
Last column: nearest neighbours and their distance in Å.
Space group I4_1/amd (No. 141, origin choice 2)
Asymmetric unit:
Nd1 0.0000 0.2500 0.3750 x4  18 Al 3.35-3.56
Al1 0.0000 0.2500 0.8750 x4  4 Cu 2.83, 8 Al 2.87
Al2 0.1232 0.0489 0.6837 x32  2 Cu 2.59-2.66, 7 Al 2.64-2.88
Cu1 0.0000 0.0000 0.0000 x8  10 Al 2.59-2.83

6.
Computed, not measured: a geometry-optimized NdAlCu4 structure at the PBE-GGA level of DFT.

For the density of states at the Fermi level, the calculation gives 3.71 states/eV/cell. The total moment comes out at 0.00 μB/cell. For the final energy, the calculation gives -26.3 eV per formula unit. As for the calculated formation energy: -0.233 eV/atom.

Unit cell a=5.2927 b=5.2927 c=4.0135 alpha=90.00 beta=90.00 gamma=120.00
Last column: nearest neighbours and their distance in Å.
Space group P-6m2 (No. 187)
Asymmetric unit:
Nd1 0.0000 0.0000 0.0000 x1  3 Al 3.06, 15 Cu 3.06-3.32
Al1 0.3333 0.6667 0.0000 x1  6 Cu 2.53
Cu1 0.5010 0.0019 0.5000 x3  6 Cu 2.52-2.66, 2 Al 2.53
Cu2 0.6667 0.3333 0.0000 x1  6 Cu 2.52

7.
Computed, not measured: a geometry-optimized NdAlCu structure at the PBE-GGA level of DFT.

For the density of states at the Fermi level, the calculation gives 4.10 states/eV/cell. The total moment comes out at 0.00 μB/cell. For the final energy, the calculation gives -13.6 eV per formula unit. As for the calculated formation energy: -0.319 eV/atom.

Unit cell a=4.4544 b=4.4544 c=3.8112 alpha=90.00 beta=90.00 gamma=120.00
Last column: nearest neighbours and their distance in Å.
Space group P-6m2 (No. 187)
Asymmetric unit:
Nd1 0.0000 0.0000 0.0000 x1  6 Cu 3.20, 6 Al 3.20
Al1 0.6667 0.3333 0.5000 x1  3 Cu 2.57
Cu1 0.3333 0.6667 0.5000 x1  3 Al 2.57

8.
Computed, not measured: a geometry-optimized Nd2AlCu2 structure at the PBE-GGA level of DFT.

For the density of states at the Fermi level, the calculation gives 16.55 states/eV/cell. The total moment comes out at 0.00 μB/cell. For the final energy, the calculation gives -22.9 eV per formula unit. As for the calculated formation energy: -0.288 eV/atom.

Unit cell a=9.8805 b=5.7348 c=7.9213 alpha=90.00 beta=104.13 gamma=90.00
Last column: nearest neighbours and their distance in Å.
Space group C2/c (No. 15)
Asymmetric unit:
Nd1 0.1499 0.1390 0.1527 x8  6 Cu 3.05-3.13, 3 Al 3.36-3.41
Al1 0.0000 0.3557 0.7500 x4  4 Cu 2.63-2.64
Cu1 0.1329 0.3664 0.4992 x8  2 Al 2.63-2.64, 1 Cu 2.67

9.
Computed, not measured: a geometry-optimized NdAl3Cu3 structure at the PBE-GGA level of DFT.

For the density of states at the Fermi level, the calculation gives 4.55 states/eV/cell. The total moment comes out at 0.00 μB/cell. The calculation puts the energy above the most stable polymorph in this dataset at 125 meV/atom. For the final energy, the calculation gives -29.3 eV per formula unit. As for the calculated formation energy: -0.147 eV/atom.

Unit cell a=8.1755 b=4.2090 c=8.1937 alpha=90.00 beta=119.92 gamma=90.00
Last column: nearest neighbours and their distance in Å.
Space group P2_1/m (No. 11)
Asymmetric unit:
Nd1 0.1667 0.2500 0.3327 x2  9 Cu 2.84-2.97
Al1 0.2284 0.2500 0.9629 x2  4 Cu 2.50-2.71
Al2 0.2647 0.7500 0.7284 x2  4 Cu 2.49-2.71
Al3 0.4643 0.7500 0.2353 x2  4 Cu 2.50-2.71
Cu1 0.0562 0.2500 0.6114 x2  4 Al 2.50-2.71, 2 Cu 2.63
Cu2 0.1121 0.7500 0.0551 x2  4 Al 2.50-2.71, 2 Cu 2.64
Cu3 0.4440 0.7500 0.5558 x2  4 Al 2.49-2.71, 2 Cu 2.63

10.
Computed, not measured: a geometry-optimized NdAl3Cu3 structure at the PBE-GGA level of DFT.

For the density of states at the Fermi level, the calculation gives 19.56 states/eV/cell. The total moment comes out at 0.00 μB/cell. The calculation puts the energy above the most stable polymorph in this dataset at 0 meV/atom. For the final energy, the calculation gives -30.2 eV per formula unit. As for the calculated formation energy: -0.272 eV/atom.

Unit cell a=7.0664 b=7.0664 c=16.4916 alpha=90.00 beta=90.00 gamma=120.00
Last column: nearest neighbours and their distance in Å.
Space group R-3m (No. 166, hexagonal axes)
Asymmetric unit:
Nd1 0.0000 0.0000 0.1300 x6  3 Cu 3.06, 6 Al 3.07-3.34
Al1 0.0790 0.5395 0.3574 x18  4 Cu 2.60, 4 Al 2.65-2.70
Cu1 0.0879 0.5439 0.1034 x18  4 Cu 2.57-2.60, 4 Al 2.60

11.
Computed, not measured: a geometry-optimized NdAl3Cu structure at the PBE-GGA level of DFT.

For the density of states at the Fermi level, the calculation gives 4.59 states/eV/cell. The total moment comes out at 0.00 μB/cell. The calculation puts the energy above the most stable polymorph in this dataset at 374 meV/atom. For the final energy, the calculation gives -20.6 eV per formula unit. As for the calculated formation energy: -0.098 eV/atom.

Unit cell a=6.5864 b=6.6041 c=4.6982 alpha=90.00 beta=90.00 gamma=90.00
Last column: nearest neighbours and their distance in Å.
Space group Cmmm (No. 65)
Asymmetric unit:
Nd1 0.0000 0.0000 0.0000 x2  12 Al 3.29-3.31
Al1 0.0000 0.5000 0.0000 x2  2 Cu 2.35
Al2 0.2500 0.2500 0.5000 x4  2 Cu 2.33
Cu1 0.0000 0.5000 0.5000 x2  6 Al 2.33-2.35

12.
Computed, not measured: a geometry-optimized Nd2Al5Cu structure at the PBE-GGA level of DFT.

For the density of states at the Fermi level, the calculation gives 5.73 states/eV/cell. The total moment comes out at 0.00 μB/cell. For the final energy, the calculation gives -34.7 eV per formula unit. As for the calculated formation energy: -0.299 eV/atom.

Unit cell a=6.1081 b=6.1081 c=9.0437 alpha=90.00 beta=90.00 gamma=90.00
Last column: nearest neighbours and their distance in Å.
Space group I4mm (No. 107)
Asymmetric unit:
Nd1 0.0000 0.5000 0.0000 x4  10 Al 3.07-3.14, 2 Cu 3.25
Al1 0.0000 0.0000 0.0326 x2  8 Al 3.04-3.24, 4 Nd 3.07, 1 Cu 3.12
Al2 0.2332 0.2332 0.7521 x8  1 Cu 2.57, 2 Al 2.85
Cu1 0.0000 0.0000 0.3771 x2  4 Al 2.57